DFT (GGA-PBE) results for Ba2NaLi2Cd5 after structural relaxation.

Lattice parameters (Å, degrees): 4.1660 11.7168 11.7168 90.00 90.00 90.00
Closest atoms and distances in Å follow each position.
Atoms (fractional coordinates):
Li (0.0000, 0.3885, 0.1115)  6 Cd 2.78-3.01
Ba (0.0000, 0.3139, 0.8139)  3 Li 3.35-3.59, 10 Cd 3.67-3.73
Cd (0.5000, 0.7865, 0.9485)  2 Li 3.01, 2 Na 3.31
Cd (0.5000, 0.9485, 0.2135)  2 Li 3.01, 2 Na 3.31
Cd (0.5000, 0.2865, 0.5515)  2 Li 3.01, 2 Na 3.31
Ba (0.0000, 0.6861, 0.1861)  3 Li 3.35-3.59, 10 Cd 3.67-3.73
Ba (0.0000, 0.8139, 0.6861)  3 Li 3.35-3.59, 10 Cd 3.67-3.73
Na (0.0000, 0.0000, 0.0000)  8 Cd 3.31
Li (0.0000, 0.6115, 0.8885)  6 Cd 2.78-3.01
Li (0.0000, 0.1115, 0.6115)  6 Cd 2.78-3.01
Cd (0.5000, 0.4485, 0.2865)  2 Li 3.01, 2 Na 3.31
Cd (0.5000, 0.5515, 0.7135)  2 Li 3.01, 2 Na 3.31
Cd (0.5000, 0.2135, 0.0515)  2 Li 3.01, 2 Na 3.31
Cd (0.5000, 0.0515, 0.7865)  2 Li 3.01, 2 Na 3.31
Cd (0.5000, 0.5000, 0.0000)  4 Li 2.78
Na (0.0000, 0.5000, 0.5000)  8 Cd 3.31
Cd (0.5000, 0.7135, 0.4485)  2 Li 3.01, 2 Na 3.31
Cd (0.5000, 0.0000, 0.5000)  4 Li 2.78
Li (0.0000, 0.8885, 0.3885)  6 Cd 2.78-3.01
Ba (0.0000, 0.1861, 0.3139)  3 Li 3.35-3.59, 10 Cd 3.67-3.73

Properties
size of the total moment: 0.00 μB/f.u.
ΔH_f (0 K): -188 meV/atom
calculated volume: 572 Å³/cell